VASP calculation (GGA-PBE) on a relaxed structure of Pm2DyPaP4.

The structure in POSCAR format:
```
Pm2DyPaP4
1.0
6.9951 0.0000 0.0000
0.0000 4.0555 0.0000
-2.3388 0.0000 6.6340
Pm Dy Pa P
2 1 1 4
direct
0.0000 0.0000 0.0000
0.5000 0.5000 0.0000
0.0000 0.5000 0.5000
0.5000 0.0000 0.5000
0.2512 0.0000 0.7381
0.2573 0.5000 0.2627
0.7427 0.5000 0.7373
0.7488 0.0000 0.2619
```

Properties
SG: P2/m, No. 10
Calculated formation energy: -1528 meV/atom
Mass density: 7.124 Mg/m³

VASP calculation (GGA-PBE) on a relaxed structure of Pm3DyPa2P6.

The structure in POSCAR format:
```
Pm3DyPa2P6
1.0
3.5017 -6.0649 0.0000
3.5017 6.0649 0.0000
-2.3325 0.0000 6.6294
Pm Dy Pa P
3 1 2 6
direct
0.0000 0.0000 0.0000
0.3345 0.6655 0.0000
0.6655 0.3345 0.0000
0.5000 0.5000 0.5000
0.1667 0.8333 0.5000
0.8333 0.1667 0.5000
0.0828 0.4212 0.2637
0.2409 0.2409 0.7372
0.4212 0.0828 0.2637
0.5788 0.9172 0.7363
0.7591 0.7591 0.2628
0.9172 0.5788 0.7363
```

Properties
SG: C2/m, No. 12
Calculated formation energy: -1502 meV/atom
Mass density: 7.344 Mg/m³